Computed, not measured: Ac2Sn3GePd4 after structural relaxation at the PBE-GGA level of DFT.

Geometry as POSCAR:
```
Ac2Sn3GePd4
1.0
4.6803 0.0000 0.0000
0.0000 4.6803 0.0000
0.0000 0.0000 10.6387
Ac Pd Sn Ge
2 4 3 1
Direct
0.0000 0.5000 0.7475
0.5000 0.0000 0.2525
0.0000 0.0000 0.0000
0.0000 0.5000 0.3778
0.5000 0.5000 0.0000
0.5000 0.0000 0.6222
0.5000 0.0000 0.8736
0.0000 0.5000 0.1264
0.0000 0.0000 0.5000
0.5000 0.5000 0.5000
```

- space-group type = P-4m2 (115)
- crystal system = tetragonal
- ΔH_f (0 K) (meV/atom) = -799
- volume (Å³ per atom) = 23.30